# 1
This record from Alexandria via LeMat-Bulk describes a crystal of Li2VP3O10 relaxed with PBEsol. The functional is SCAN.

a b c (Å): 8.0605 8.0605 9.6691
angles (deg): 124.24 124.24 51.30
Sites, in units of the cell vectors:
Li1 0.2249 0.2371 0.0490
Li2 0.2371 0.2249 0.5490
Li3 0.7629 0.7751 0.4510
Li4 0.7751 0.7629 0.9510
V1 0.1569 0.8431 0.2500
V2 0.8431 0.1569 0.7500
P1 0.0685 0.6979 0.8151
P2 0.3021 0.9315 0.6849
P3 0.4576 0.5424 0.7500
P4 0.5424 0.4576 0.2500
P5 0.6979 0.0685 0.3151
P6 0.9315 0.3021 0.1849
O1 0.0333 0.7909 0.9882
O2 0.0719 0.4746 0.6953
O3 0.1037 0.1302 0.2881
O4 0.1302 0.1037 0.7881
O5 0.2091 0.9667 0.5118
O6 0.3038 0.4825 0.1528
O7 0.3164 0.6809 0.8781
O8 0.3191 0.6836 0.6219
O9 0.4746 0.0719 0.1953
O10 0.4825 0.3038 0.6528
O11 0.5175 0.6962 0.3472
O12 0.5254 0.9281 0.8047
O13 0.6809 0.3164 0.3781
O14 0.6836 0.3191 0.1219
O15 0.6962 0.5175 0.8472
O16 0.7909 0.0333 0.4882
O17 0.8698 0.8963 0.2119
O18 0.8963 0.8698 0.7119
O19 0.9281 0.5254 0.3047
O20 0.9667 0.2091 0.0118

## Properties
Symmetry: C2/c, No. 15
Uncorrected energy: -311.652 eV for the cell shown
Energy relative to the elements, uncorrected: -241.5 kJ/mol of atoms



# 2
This record from Alexandria via LeMat-Bulk describes a crystal of Li3V4P6O24 relaxed with PBEsol. The functional is SCAN.

a b c (Å): 8.3779 8.4210 8.4219
angles (deg): 60.82 60.97 60.99
Sites, in units of the cell vectors:
Li1 0.0000 0.0000 0.0000
Li2 0.2717 0.8466 0.6239
Li3 0.7263 0.3742 0.1481
V1 0.1131 0.7067 0.5074
V2 0.3916 0.9920 0.7852
V3 0.6091 0.2096 0.0027
V4 0.8875 0.4874 0.2883
P1 0.0003 0.3106 0.6841
P2 0.2050 0.0980 0.1860
P3 0.2901 0.5967 0.1095
P4 0.5002 0.3901 0.6051
P5 0.7107 0.8854 0.3981
P6 0.7953 0.8090 0.8970
O1 0.0137 0.2651 0.2087
O2 0.0652 0.4714 0.6434
O3 0.1212 0.5397 0.1533
O4 0.1589 0.1101 0.7086
O5 0.1941 0.9328 0.3801
O6 0.2245 0.0425 0.0258
O7 0.2558 0.6535 0.2739
O8 0.2957 0.7686 0.9189
O9 0.3380 0.5854 0.5908
O10 0.3806 0.1499 0.1332
O11 0.4330 0.2274 0.6510
O12 0.4847 0.4327 0.0868
O13 0.5156 0.9092 0.5615
O14 0.5673 0.3448 0.7674
O15 0.6201 0.8613 0.8448
O16 0.6625 0.4039 0.4097
O17 0.7065 0.0753 0.2254
O18 0.7447 0.7205 0.3421
O19 0.7752 0.9698 0.9520
O20 0.8059 0.6152 0.0625
O21 0.8413 0.2872 0.8846
O22 0.8793 0.8415 0.4555
O23 0.9359 0.3508 0.5235
O24 0.9869 0.7859 0.7301

## Properties
Symmetry: P1, No. 1
Uncorrected energy: -383.991 eV for the cell shown
E above lowest polymorph: 0 meV/atom
Energy relative to the elements, uncorrected: -247.5 kJ/mol of atoms



# 3
This record from Alexandria via LeMat-Bulk describes a crystal of Li3V3P4O16 relaxed with PBEsol. The functional is SCAN.

a b c (Å): 7.4935 7.8966 10.0872
angles (deg): 90.00 95.04 90.00
Sites, in units of the cell vectors:
Li1 0.1387 0.0000 0.0790
Li2 0.1488 0.0089 0.5754
Li3 0.3420 0.2700 0.6728
Li4 0.6580 0.7700 0.3272
Li5 0.8512 0.5089 0.4246
Li6 0.8613 0.5000 0.9210
V1 0.2397 0.6374 0.6260
V2 0.2445 0.6512 0.1288
V3 0.3561 0.2842 0.1787
V4 0.6439 0.7842 0.8213
V5 0.7555 0.1512 0.8712
V6 0.7603 0.1374 0.3740
P1 0.0514 0.8307 0.3563
P2 0.0512 0.8420 0.8531
P3 0.4482 0.4437 0.8939
P4 0.4489 0.4552 0.4042
P5 0.5511 0.9552 0.5958
P6 0.5518 0.9437 0.1061
P7 0.9486 0.3307 0.6437
P8 0.9488 0.3420 0.1469
O1 0.0059 0.5131 0.6054
O2 0.0122 0.5183 0.1041
O3 0.1018 0.2084 0.6618
O4 0.1143 0.2191 0.1577
O5 0.1388 0.8353 0.7217
O6 0.1512 0.8384 0.2260
O7 0.1868 0.7808 0.9663
O8 0.1946 0.7769 0.4701
O9 0.3002 0.5031 0.7905
O10 0.3052 0.4978 0.2844
O11 0.3533 0.4431 0.5319
O12 0.3685 0.4434 0.0348
O13 0.3947 0.0694 0.0933
O14 0.3957 0.0729 0.5856
O15 0.4901 0.7664 0.1437
O16 0.4959 0.7722 0.6525
O17 0.5041 0.2722 0.3475
O18 0.5099 0.2664 0.8563
O19 0.6043 0.5729 0.4144
O20 0.6053 0.5694 0.9067
O21 0.6315 0.9434 0.9652
O22 0.6467 0.9431 0.4681
O23 0.6948 0.9978 0.7156
O24 0.6998 0.0031 0.2095
O25 0.8054 0.2769 0.5299
O26 0.8132 0.2808 0.0337
O27 0.8488 0.3384 0.7740
O28 0.8612 0.3353 0.2783
O29 0.8857 0.7191 0.8423
O30 0.8982 0.7084 0.3382
O31 0.9878 0.0183 0.8959
O32 0.9941 0.0131 0.3946

## Properties
Symmetry: P2_1, No. 4
Uncorrected energy: -537.118 eV for the cell shown
E above lowest polymorph: 0 meV/atom
Energy relative to the elements, uncorrected: -251.0 kJ/mol of atoms



# 4
This record from Alexandria via LeMat-Bulk describes a crystal of LiV3P3O13 relaxed with PBEsol. The functional is SCAN.

a b c (Å): 7.3510 6.2206 10.5236
angles (deg): 90.00 100.57 90.00
Sites, in units of the cell vectors:
Li1 0.1232 0.2500 0.1309
Li2 0.8768 0.7500 0.8691
V1 0.1380 0.2500 0.8072
V2 0.2670 0.7500 0.4485
V3 0.5000 0.0000 0.0000
V4 0.5000 0.5000 0.0000
V5 0.7330 0.2500 0.5515
V6 0.8620 0.7500 0.1928
P1 0.1989 0.7500 0.1245
P2 0.2274 0.7500 0.7702
P3 0.2818 0.2500 0.5249
P4 0.7182 0.7500 0.4751
P5 0.7726 0.2500 0.2298
P6 0.8011 0.2500 0.8755
O1 0.0012 0.2500 0.9547
O2 0.1086 0.5576 0.7967
O3 0.1086 0.9424 0.7967
O4 0.1546 0.7500 0.2636
O5 0.1744 0.2500 0.6362
O6 0.2252 0.0496 0.4412
O7 0.2252 0.4504 0.4412
O8 0.2854 0.7500 0.6389
O9 0.3004 0.5421 0.1010
O10 0.3004 0.9579 0.1010
O11 0.3615 0.2500 0.9096
O12 0.4060 0.7500 0.8804
O13 0.4919 0.2500 0.5795
O14 0.5081 0.7500 0.4205
O15 0.5940 0.2500 0.1196
O16 0.6385 0.7500 0.0904
O17 0.6996 0.0421 0.8990
O18 0.6996 0.4579 0.8990
O19 0.7146 0.2500 0.3611
O20 0.7748 0.5496 0.5588
O21 0.7748 0.9504 0.5588
O22 0.8256 0.7500 0.3638
O23 0.8454 0.2500 0.7364
O24 0.8914 0.0576 0.2033
O25 0.8914 0.4424 0.2033
O26 0.9988 0.7500 0.0453

## Properties
Symmetry: P2_1/m, No. 11
Uncorrected energy: -437.386 eV for the cell shown
Energy relative to the elements, uncorrected: -249.1 kJ/mol of atoms



The highest uncorrected energy belongs to which entry?
Li2VP3O10